A crystal of KSb2TeOs relaxed with PBEsol, computed with SCAN.

POSCAR file:
```
KSb2TeOs
1.0
-4.868 -1.212 -0.077
1.189 -4.821 0.720
-0.298 0.818 5.968
Te Sb Os K
1 2 1 1
Cartesian
-0.149 0.409 2.984 Te
0.594 -2.410 0.360 Sb
-2.434 -0.606 -0.039 Sb
0.000 0.000 0.000 Os
-1.989 -2.608 3.306 K
```

Calculated values
size of the total moment = 0.33 μB per formula unit
raw total energy = -38.202 eV per atom
raw formation energy = 194 meV/atom